Record 1
Entry from Alexandria via LeMat-Bulk: CsGe2Au4 after structural relaxation (PBE).

Output
energy	-3.16	eV/atom
energy of formation	0.152	eV per atom
crystal system	orthorhombic

Unit cell a=8.2861 b=8.2861 c=8.2830 alpha=113.13 beta=113.15 gamma=102.39
Fractional positions:
Au1 0.7791 0.6179 0.1613
Au2 0.3824 0.5433 0.1613
Au3 0.3820 0.2209 0.8385
Au4 0.4566 0.6178 0.8387
Au5 0.4709 0.1321 0.3386
Au6 0.7934 0.1323 0.6613
Au7 0.8679 0.5291 0.6614
Au8 0.8677 0.2066 0.3387
Cs1 0.9997 0.9998 0.0000
Cs2 0.2503 0.7502 0.5000
Ge1 0.6250 0.3750 0.7500
Ge2 0.6250 0.8750 0.2500
Ge3 0.1250 0.3751 0.7500
Ge4 0.6250 0.3749 0.2499


Record 2
Entry from Alexandria via LeMat-Bulk: ReAgIN2 after structural relaxation (PBE).

Output
energy	-3.85	eV/atom
ΔE_f (raw)	2846	meV per atom
crystal system	tetragonal

Unit cell a=3.9878 b=3.9878 c=5.6780 alpha=90.00 beta=90.00 gamma=90.00
Fractional positions:
N1 0.5000 0.0000 0.0000
N2 0.0000 0.5000 0.0000
I1 0.0000 0.0000 0.5000
Re1 0.5000 0.5000 0.5000
Ag1 0.0000 0.0000 0.0000


Record 3
Entry from Alexandria via LeMat-Bulk: Rb2OsBrCl6 after structural relaxation (PBE).

Output
energy	-3.58	eV/atom
ΔE_f (raw)	-992	meV per atom
crystal system	triclinic

Unit cell a=9.5151 b=8.9689 c=8.4639 alpha=40.27 beta=46.19 gamma=52.26
Last column: magnetic moment on the atom in μB.
Fractional positions:
Cl1 0.4170 0.2275 0.3058  0.08
Cl2 0.0456 0.5853 0.1391  0.07
Cl3 0.5867 0.0474 0.9636  0.07
Cl4 0.2154 0.4051 0.7969  0.08
Cl5 0.1215 0.0319 0.4366  0.15
Cl6 0.5107 0.6007 0.6661  0.15
Rb1 0.9439 0.1905 0.8360  0.00
Rb2 0.6885 0.4413 0.2675  0.00
Os1 0.3162 0.3164 0.0514  1.82
Br1 0.8160 0.8155 0.5522  0.18


Record 4
Entry from Alexandria via LeMat-Bulk: Er12Tl3N5 after structural relaxation (PBE).

Output
energy	-5.99	eV/atom
ΔE_f (raw)	-815	meV per atom
crystal system	cubic

Unit cell a=13.4137 b=13.4137 c=13.4137 alpha=109.47 beta=109.47 gamma=109.47
Fractional positions:
Tl1 0.6250 0.3750 0.7500
Tl2 0.7500 0.3750 0.1250
Tl3 0.2500 0.6250 0.8750
Tl4 0.7500 0.8750 0.6250
Tl5 0.1250 0.8750 0.7500
Tl6 0.8750 0.7500 0.1250
Tl7 0.3750 0.6250 0.2500
Tl8 0.3750 0.7500 0.6250
Tl9 0.2500 0.1250 0.3750
Tl10 0.6250 0.2500 0.3750
Tl11 0.1250 0.2500 0.8750
Tl12 0.8750 0.1250 0.2500
Er1 0.8144 0.9018 0.0113
Er2 0.6095 0.5982 0.9126
Er3 0.4018 0.3905 0.5874
Er4 0.6969 0.1095 0.0113
Er5 0.5982 0.9887 0.6856
Er6 0.6856 0.4887 0.5982
Er7 0.1856 0.0874 0.6969
Er8 0.9018 0.0874 0.8905
Er9 0.5982 0.6095 0.4126
Er10 0.1095 0.4126 0.0982
Er11 0.8031 0.3144 0.9126
Er12 0.5874 0.6969 0.6856
Er13 0.8905 0.5874 0.9018
Er14 0.9126 0.0982 0.6095
Er15 0.1969 0.5113 0.6095
Er16 0.9887 0.5982 0.1856
Er17 0.0113 0.6095 0.6969
Er18 0.3031 0.4126 0.8144
Er19 0.3144 0.5113 0.4018
Er20 0.3031 0.8905 0.9887
Er21 0.3144 0.8031 0.4126
Er22 0.0982 0.1856 0.4887
Er23 0.0874 0.9018 0.3905
Er24 0.1095 0.6969 0.5113
Er25 0.5113 0.1969 0.1095
Er26 0.3905 0.4018 0.0874
Er27 0.4126 0.1095 0.5982
Er28 0.9126 0.8144 0.8031
Er29 0.4887 0.8031 0.8905
Er30 0.8031 0.4887 0.3905
Er31 0.5874 0.8905 0.4018
Er32 0.4126 0.3031 0.3144
Er33 0.9018 0.8144 0.5113
Er34 0.5113 0.3144 0.9018
Er35 0.0113 0.4018 0.8144
Er36 0.6969 0.5874 0.1856
Er37 0.0874 0.1856 0.1969
Er38 0.4018 0.0113 0.3144
Er39 0.6856 0.1969 0.5874
Er40 0.9887 0.3905 0.3031
Er41 0.1969 0.6856 0.0874
Er42 0.0982 0.9126 0.1095
Er43 0.8144 0.9126 0.3031
Er44 0.1856 0.0982 0.9887
Er45 0.8905 0.3031 0.4887
Er46 0.4887 0.6856 0.0982
Er47 0.3905 0.9887 0.8031
Er48 0.6095 0.0113 0.1969
N1 0.8750 0.2500 0.6250
N2 0.0000 0.0000 0.5000
N3 0.5000 0.0000 0.0000
N4 0.1250 0.7500 0.3750
N5 0.7500 0.1250 0.8750
N6 0.6250 0.8750 0.2500
N7 0.3750 0.1250 0.7500
N8 0.6250 0.7500 0.8750
N9 0.5000 0.0000 0.5000
N10 0.7500 0.6250 0.3750
N11 0.2500 0.3750 0.6250
N12 0.5000 0.5000 0.5000
N13 0.3750 0.2500 0.1250
N14 0.5000 0.5000 0.0000
N15 0.1250 0.3750 0.2500
N16 0.0000 0.0000 0.0000
N17 0.2500 0.8750 0.1250
N18 0.8750 0.6250 0.7500
N19 0.0000 0.5000 0.5000
N20 0.0000 0.5000 0.0000


Record 5
Entry from Alexandria via LeMat-Bulk: DyInBiAu after structural relaxation (PBE).

Output
energy	-3.96	eV/atom
energy of formation	-0.334	eV per atom
crystal system	cubic

Unit cell a=5.2840 b=5.2840 c=5.2840 alpha=60.00 beta=60.00 gamma=60.00
Fractional positions:
Au1 0.0000 0.0000 0.0000
Bi1 0.5000 0.5000 0.5000
In1 0.2500 0.2500 0.2500
Dy1 0.7500 0.7500 0.7500


Record 6
Entry from Alexandria via LeMat-Bulk: Pu3As5Pd6 after structural relaxation (PBE).

Output
energy	-7.65	eV/atom
energy of formation	-0.689	eV per atom
crystal system	orthorhombic

Unit cell a=4.1055 b=9.9311 c=12.9299 alpha=90.00 beta=90.00 gamma=90.00
Last column: magnetic moment on the atom in μB.
Fractional positions:
Pd1 0.5000 0.4077 0.1909  -0.02
Pd2 0.5000 0.5242 0.0000  0.00
Pd3 0.0000 0.0006 0.8318  -0.04
Pd4 0.0000 0.9877 0.5000  -0.03
Pd5 0.0000 0.5923 0.3091  -0.02
Pd6 0.0000 0.4758 0.5000  0.00
Pd7 0.0000 0.0006 0.1682  -0.04
Pd8 0.5000 0.0123 0.0000  -0.03
Pd9 0.5000 0.4077 0.8091  -0.02
Pd10 0.5000 0.9994 0.3318  -0.04
Pd11 0.5000 0.9994 0.6682  -0.04
Pd12 0.0000 0.5923 0.6909  -0.02
As1 0.0000 0.8443 0.0000  -0.05
As2 0.5000 0.1557 0.5000  -0.05
As3 0.5000 0.1577 0.8340  -0.05
As4 0.0000 0.8423 0.6660  -0.05
As5 0.5000 0.4588 0.6191  -0.03
As6 0.5000 0.4588 0.3809  -0.03
As7 0.0000 0.5412 0.8809  -0.03
As8 0.5000 0.1577 0.1660  -0.05
As9 0.0000 0.5412 0.1191  -0.03
As10 0.0000 0.8423 0.3340  -0.05
Pu1 0.5000 0.7585 0.1630  5.12
Pu2 0.5000 0.7345 0.5000  5.22
Pu3 0.0000 0.2415 0.3370  5.12
Pu4 0.0000 0.2415 0.6630  5.12
Pu5 0.0000 0.2655 0.0000  5.22
Pu6 0.5000 0.7585 0.8370  5.12


Record 7
Entry from Alexandria via LeMat-Bulk: Ti3AlNi3 after structural relaxation (PBE).

Output
energy	-6.72	eV/atom
energy of formation	-0.328	eV per atom
crystal system	cubic

Unit cell a=7.3479 b=7.3479 c=7.3479 alpha=90.00 beta=90.00 gamma=90.00
Last column: magnetic moment on the atom in μB.
Fractional positions:
Al1 0.4166 0.4166 0.4166  0.00
Al2 0.9166 0.0834 0.5834  0.00
Al3 0.0834 0.5834 0.9166  0.00
Al4 0.5834 0.9166 0.0834  0.00
Ni1 0.1558 0.5538 0.2347  0.01
Ni2 0.6558 0.9462 0.7653  0.01
Ni3 0.7653 0.6558 0.9462  0.01
Ni4 0.8442 0.0538 0.2653  0.01
Ni5 0.9462 0.7653 0.6558  0.01
Ni6 0.2653 0.8442 0.0538  0.01
Ni7 0.4462 0.7347 0.3442  0.01
Ni8 0.3442 0.4462 0.7347  0.01
Ni9 0.7347 0.3442 0.4462  0.01
Ni10 0.0538 0.2653 0.8442  0.01
Ni11 0.2347 0.1558 0.5538  0.01
Ni12 0.5538 0.2347 0.1558  0.01
Ti1 0.5402 0.0402 0.4598  -0.07
Ti2 0.1357 0.8643 0.3643  0.26
Ti3 0.3643 0.1357 0.8643  0.26
Ti4 0.9598 0.9598 0.9598  -0.07
Ti5 0.6357 0.6357 0.6357  0.26
Ti6 0.7041 0.2959 0.7959  0.42
Ti7 0.4598 0.5402 0.0402  -0.07
Ti8 0.2041 0.2041 0.2041  0.42
Ti9 0.0402 0.4598 0.5402  -0.07
Ti10 0.2959 0.7959 0.7041  0.42
Ti11 0.8643 0.3643 0.1357  0.26
Ti12 0.7959 0.7041 0.2959  0.42


Record 8
Entry from Alexandria via LeMat-Bulk: Mg8Ag6Sn after structural relaxation (PBE).

Output
energy	-2.40	eV/atom
energy of formation	-0.138	eV per atom
crystal system	trigonal

Unit cell a=8.0273 b=8.0273 c=7.3933 alpha=57.12 beta=57.12 gamma=60.00
Fractional positions:
Mg1 0.5522 0.2151 0.3520
Mg2 0.1193 0.4478 0.6480
Mg3 0.7849 0.1193 0.6480
Mg4 0.4478 0.7849 0.6480
Mg5 0.3345 0.3345 0.9965
Mg6 0.6655 0.6655 0.0035
Mg7 0.2151 0.8807 0.3520
Mg8 0.8807 0.5522 0.3520
Ag1 0.0501 0.7110 0.8450
Ag2 0.9499 0.2890 0.1550
Ag3 0.2890 0.6061 0.1550
Ag4 0.7110 0.3939 0.8450
Ag5 0.3939 0.0501 0.8450
Ag6 0.6061 0.9499 0.1550
Sn1 0.0000 0.0000 0.0000


Which of these has the highest energy?
Mg8Ag6Sn


Look up the energy of the seventh one.
-6.72 eV/atom


The highest energy belongs to which entry?
Mg8Ag6Sn


Among the records above, which one has the lowest energy?
Pu3As5Pd6